(1)
AlIn2Cl: optimized geometry, PBE.

energy above the most stable polymorph in this dataset = 119 meV per atom
DOS(E_F) = 1.125 states/eV/cell
total DFT energy (no corrections) = -11.52 eV for the cell shown
formation energy without anion corrections = -0.114 eV/atom

Cell lengths 5.3930, 3.1941, 5.7140 Å; angles 90.00, 90.41, 90.00 degrees
With the nearest neighbours (Å) after each atom.
Space group P2/m (No. 10)
Inequivalent atoms, fractional coordinates:
Al: 0.0000 0.0000 0.0000 (multiplicity 1)  4 In 3.13, 2 Al 3.19, 4 Cl 3.27
In: 0.5000 0.0000 0.5000 (multiplicity 1)  4 Cl 3.13, 6 In 3.19-3.27
In: 0.5000 0.5000 0.0000 (multiplicity 1)  4 Al 3.13, 6 In 3.19-3.27
Cl: 0.0000 0.5000 0.5000 (multiplicity 1)  4 In 3.13, 2 Cl 3.19, 4 Al 3.27


(2)
ZnGe3O: optimized geometry, PBE.

energy above the most stable polymorph in this dataset = 0 meV per atom
DOS(E_F) = 1.571 states/eV/cell
total DFT energy (no corrections) = -19.79 eV for the cell shown
formation energy without anion corrections = 0.058 eV/atom

Cell lengths 4.4480, 4.4480, 4.4480 Å; angles 90.00, 90.00, 90.00 degrees
With the nearest neighbours (Å) after each atom.
Space group Pm-3m (No. 221)
Inequivalent atoms, fractional coordinates:
Zn: 0.0000 0.0000 0.0000 (multiplicity 1)  12 Ge 3.15
Ge: 0.0000 0.5000 0.5000 (multiplicity 3)  2 O 2.22
O: 0.5000 0.5000 0.5000 (multiplicity 1)  6 Ge 2.22


(3)
LiPtI2: optimized geometry, PBE.

energy above the most stable polymorph in this dataset = 430 meV per atom
DOS(E_F) = 22.556 states/eV/cell
total DFT energy (no corrections) = -42.03 eV for the cell shown
formation energy without anion corrections = 0.137 eV/atom

Cell lengths 7.3085, 7.3085, 7.3085 Å; angles 90.00, 90.00, 90.00 degrees
With the nearest neighbours (Å) after each atom.
Space group Fm-3m (No. 225)
Inequivalent atoms, fractional coordinates:
Li: 0.0000 0.0000 0.0000 (multiplicity 4)  8 I 3.16
Pt: 0.0000 0.0000 0.5000 (multiplicity 4)  8 I 3.16
I: 0.2500 0.2500 0.2500 (multiplicity 8)  4 Li 3.16, 4 Pt 3.16


(4)
AcAl2Fe2Ge: optimized geometry, PBE.

DOS(E_F) = 5.400 states/eV/cell
total DFT energy (no corrections) = -33.90 eV for the cell shown

Cell lengths 4.4400, 4.4400, 6.0377 Å; angles 90.00, 90.00, 90.00 degrees
With the nearest neighbours (Å) after each atom.
Space group P4/mmm (No. 123)
Inequivalent atoms, fractional coordinates:
Ac: 0.0000 0.0000 0.0000 (multiplicity 1)  2 Ge 3.02
Al: 0.5000 0.5000 0.2679 (multiplicity 2)  4 Fe 2.63, 1 Al 2.80
Fe: 0.0000 0.5000 0.5000 (multiplicity 2)  2 Ge 2.22
Ge: 0.0000 0.0000 0.5000 (multiplicity 1)  4 Fe 2.22


(5)
NaMn2GeSe4: optimized geometry, PBE.

DOS(E_F) = 1.123 states/eV/cell
total DFT energy (no corrections) = -84.28 eV for the cell shown
formation energy without anion corrections = -0.491 eV/atom

Cell lengths 8.6344, 7.3809, 6.8557 Å; angles 90.00, 90.00, 90.00 degrees
With the nearest neighbours (Å) after each atom.
Space group Pmn2_1 (No. 31)
Inequivalent atoms, fractional coordinates:
Na: 0.0000 0.1525 0.0000 (multiplicity 2)  4 Se 2.86-2.90
Mn: 0.2457 0.3376 0.5050 (multiplicity 4)  4 Se 2.51-2.54
Ge: 0.0000 0.8202 0.5054 (multiplicity 2)  4 Se 2.52-2.60
Se: 0.0000 0.1646 0.4223 (multiplicity 2)  2 Mn 2.54, 1 Ge 2.60
Se: 0.0000 0.7808 0.8728 (multiplicity 2)  2 Mn 2.53, 1 Ge 2.54
Se: 0.2316 0.6541 0.3727 (multiplicity 4)  2 Mn 2.51-2.53, 1 Ge 2.52


(6)
PaGa6: optimized geometry, PBE.

energy above the most stable polymorph in this dataset = 531 meV per atom
DOS(E_F) = 19.941 states/eV/cell
total DFT energy (no corrections) = -50.32 eV for the cell shown

Cell lengths 6.8730, 6.8730, 6.8730 Å; angles 90.00, 90.00, 90.00 degrees
With the nearest neighbours (Å) after each atom.
Space group Im-3m (No. 229)
Inequivalent atoms, fractional coordinates:
Pa: 0.0000 0.0000 0.0000 (multiplicity 2)  24 Ga 3.84
Ga: 0.0000 0.2500 0.5000 (multiplicity 12)  4 Ga 2.43


(7)
DyHf2ReC4: optimized geometry, PBE.

DOS(E_F) = 11.111 states/eV/cell
total DFT energy (no corrections) = -307.27 eV for the cell shown

Cell lengths 3.3055, 11.5746, 11.5594 Å; angles 90.00, 90.00, 90.00 degrees
With the nearest neighbours (Å) after each atom.
Space group Cmcm (No. 63)
Inequivalent atoms, fractional coordinates:
Dy: 0.0000 0.1036 0.2500 (multiplicity 4)  6 C 2.50-2.74
Hf: 0.0000 0.3700 0.0377 (multiplicity 8)  5 C 2.19-2.43
Re: 0.0000 0.1597 0.7500 (multiplicity 4)  4 C 1.93-2.03
C: 0.0000 0.0000 0.0000 (multiplicity 4)  4 Hf 2.28
C: 0.0000 0.2620 0.6179 (multiplicity 8)  1 Re 1.93
C: 0.0000 0.4414 0.2500 (multiplicity 4)  2 Re 2.03


(8)
Nd2Al3Cu12Pd: optimized geometry, PBE.

DOS(E_F) = 27.148 states/eV/cell
total DFT energy (no corrections) = -222.05 eV for the cell shown

Cell lengths 6.0405, 6.0405, 28.5526 Å; angles 90.00, 90.00, 120.00 degrees
With the nearest neighbours (Å) after each atom.
Space group R-3m (No. 166, hexagonal axes)
Inequivalent atoms, fractional coordinates:
Nd: 0.0000 0.0000 0.1477 (multiplicity 6)  12 Cu 3.13-3.37
Al: 0.0000 0.5000 0.0000 (multiplicity 9)  4 Cu 2.40
Cu: 0.0423 0.5211 0.0956 (multiplicity 18)  4 Cu 2.43-2.64, 1 Pd 2.54
Cu: 0.0694 0.5347 0.6174 (multiplicity 18)  4 Cu 2.39-2.43, 2 Al 2.40
Pd: 0.0000 0.0000 0.5000 (multiplicity 3)  6 Cu 2.54


(9)
Ce4Pm3YTe8: optimized geometry, PBE.

DOS(E_F) = 92.740 states/eV/cell
total DFT energy (no corrections) = -275.15 eV for the cell shown
formation energy without anion corrections = -1.383 eV/atom

Cell lengths 8.8961, 8.8961, 22.0704 Å; angles 90.00, 90.00, 120.00 degrees
With the nearest neighbours (Å) after each atom.
Space group R-3m (No. 166, hexagonal axes)
Inequivalent atoms, fractional coordinates:
Ce: 0.0000 0.0000 0.0000 (multiplicity 3)  6 Te 3.21
Ce: 0.0000 0.5000 0.0000 (multiplicity 9)  6 Te 3.17
Pm: 0.0000 0.5000 0.5000 (multiplicity 9)  6 Te 3.15
Y: 0.0000 0.0000 0.5000 (multiplicity 3)  6 Te 3.11
Te: 0.0000 0.0000 0.2494 (multiplicity 6)  3 Pm 3.15, 3 Ce 3.17
Te: 0.0041 0.5020 0.2484 (multiplicity 18)  1 Y 3.11, 2 Pm 3.15, 3 Ce 3.17-3.21


(10)
K2TiNb2Se6: optimized geometry, PBE.

DOS(E_F) = 10.313 states/eV/cell
total DFT energy (no corrections) = -125.13 eV for the cell shown
formation energy without anion corrections = -1.039 eV/atom

Cell lengths 6.3758, 11.0165, 8.2840 Å; angles 90.00, 102.28, 90.00 degrees
With the nearest neighbours (Å) after each atom.
Space group C2/m (No. 12)
Inequivalent atoms, fractional coordinates:
K: 0.0000 0.1797 0.0000 (multiplicity 4)  6 Se 3.23-3.31, 2 K 3.54
Ti: 0.0000 0.0000 0.5000 (multiplicity 2)  6 Se 2.60-2.67
Nb: 0.0000 0.3664 0.5000 (multiplicity 4)  6 Se 2.57-2.83
Se: 0.2161 0.1692 0.6814 (multiplicity 8)  1 Ti 2.60, 2 Nb 2.62-2.83
Se: 0.2433 0.5000 0.7161 (multiplicity 4)  2 Nb 2.57, 1 Ti 2.67


(11)
ErFeCo2: optimized geometry, PBE.

energy above the most stable polymorph in this dataset = 19 meV per atom
DOS(E_F) = 15.671 states/eV/cell
total DFT energy (no corrections) = -108.51 eV for the cell shown

Cell lengths 4.7276, 4.5333, 11.7762 Å; angles 90.00, 90.00, 90.00 degrees
With the nearest neighbours (Å) after each atom.
Space group Pmma (No. 51)
Inequivalent atoms, fractional coordinates:
Er: 0.2500 0.0000 0.0931 (multiplicity 2)  8 Co 2.75-2.78
Er: 0.2500 0.5000 0.3074 (multiplicity 2)  3 Fe 2.84-2.91, 4 Co 3.13
Fe: 0.2500 0.0000 0.6722 (multiplicity 2)  4 Co 2.28-2.35
Fe: 0.2500 0.5000 0.5487 (multiplicity 2)  4 Co 2.62, 4 Fe 2.63-2.69, 3 Er 2.84-2.91
Co: 0.0000 0.0000 0.5000 (multiplicity 2)  6 Fe 2.35-2.62, 2 Co 2.36
Co: 0.0000 0.5000 0.0000 (multiplicity 2)  6 Co 2.36-2.49
Co: 0.2500 0.2572 0.8390 (multiplicity 4)  2 Co 2.20-2.33, 1 Fe 2.28


(12)
ZrVNi2: optimized geometry, PBE.

energy above the most stable polymorph in this dataset = 62 meV per atom
DOS(E_F) = 21.871 states/eV/cell
total DFT energy (no corrections) = -119.05 eV for the cell shown

Cell lengths 6.1755, 6.1755, 6.1755 Å; angles 90.00, 90.00, 90.00 degrees
With the nearest neighbours (Å) after each atom.
Space group Fm-3m (No. 225)
Inequivalent atoms, fractional coordinates:
Zr: 0.0000 0.0000 0.0000 (multiplicity 4)  8 Ni 2.67
V: 0.0000 0.0000 0.5000 (multiplicity 4)  8 Ni 2.67
Ni: 0.2500 0.2500 0.2500 (multiplicity 8)  4 Zr 2.67, 4 V 2.67


Per-record total moment, μB/atom: 0.00, 0.00, 0.00, 0.44, 1.13, 0.24, 0.00, 0.00, 0.30, 0.01, 1.21, 0.62